Record 1
This record from the Alexandria database describes crystalline ReP2Os at its relaxed geometry. The functional is PBE-GGA.

Cell: 7.5569 2.9063 5.0426 Å, 90.00 102.62 90.00°
Space group C2/m (No. 12)
Inequivalent atoms, fractional coordinates:
1 Re 0.0000 0.0000 0.0000 [2 per cell]
2 P 0.2492 0.5000 0.2464 [4 per cell]
3 Os 0.0000 0.5000 0.5000 [2 per cell]

Summary:
distance to the lowest polymorph of the same formula	85	kJ/mol of formula units


Record 2
This record from the Alexandria database describes crystalline ReP2Os at its relaxed geometry. The functional is PBE-GGA.

Cell: 2.9700 2.9700 22.2177 Å, 90.00 90.00 120.00°
Space group R3m (No. 160, hexagonal axes)
Inequivalent atoms, fractional coordinates:
1 Re 0.0000 0.0000 0.0000 [3 per cell]
2 P 0.0000 0.0000 0.2592 [3 per cell]
3 P 0.0000 0.0000 0.5087 [3 per cell]
4 Os 0.0000 0.0000 0.7697 [3 per cell]

Summary:
distance to the lowest polymorph of the same formula	80	kJ/mol of formula units


Record 3
This record from the Alexandria database describes crystalline ReP2Os at its relaxed geometry. The functional is PBE-GGA.

Cell: 2.8441 3.7371 5.0983 Å, 90.00 90.00 90.00°
Space group Pmm2 (No. 25)
Inequivalent atoms, fractional coordinates:
1 Re 0.0000 0.0000 0.0000 [1 per cell]
2 P 0.0000 0.0000 0.5105 [1 per cell]
3 P 0.5000 0.5000 0.8451 [1 per cell]
4 Os 0.5000 0.5000 0.3642 [1 per cell]

Summary:
distance to the lowest polymorph of the same formula	60	kJ/mol of formula units


Record 4
This record from the Alexandria database describes crystalline RePOs at its relaxed geometry. The functional is PBE-GGA.

Cell: 5.6181 5.6181 5.6181 Å, 90.00 90.00 90.00°
Space group F-43m (No. 216)
Inequivalent atoms, fractional coordinates:
1 Re 0.0000 0.0000 0.0000 [4 per cell]
2 P 0.2500 0.2500 0.7500 [4 per cell]
3 Os 0.0000 0.0000 0.5000 [4 per cell]

Summary:
distance to the lowest polymorph of the same formula	81	kJ/mol of formula units


Total moment values (in μB per atom) by entry order: 0.0000; 0.0000; 0.0000; 0.0000.
Raw total energy values (in eV per cell) by entry order: -68.73; -103.23; -34.62; -113.58.
Energy of formation from the pure elements values (in eV per atom) by entry order: 0.03; 0.02; -0.03; 0.23.